CeY2S3: optimized geometry, PBE.

Lattice parameters (Å, degrees): 6.866 6.866 6.866 146.70 131.83 59.82
Positions (direct):
Ce: 0.000 0.000 0.000
Y: 0.334 0.334 0.000
Y: 0.666 0.666 0.000
S: 0.172 0.672 0.500
S: 0.500 0.000 0.500
S: 0.828 0.328 0.500

Results
Formation energy without anion corrections, eV per atom: -2.0154